First-principles (PBE) data for a relaxed CuSn2H crystal, as listed in Alexandria via LeMat-Bulk.

Geometry as extended XYZ:
```
8
Lattice="-3.1355 0.8596 3.6432 3.2073 -1.8335 3.1929 2.7308 5.7170 4.2737" Properties=species:S:1:pos:R:3 pbc="T T T"
H 0.0359 -0.4870 3.4181
H 2.9870 1.6983 5.4423
Sn -0.6821 1.6841 3.5191
Sn 2.1013 0.4439 3.7448
Sn 2.2735 3.8091 5.9664
Sn 1.9124 3.5490 8.9893
Cu 0.0000 0.0000 0.0000
Cu -0.1844 3.0448 5.6675
```

Summary:
density of states at the Fermi level	3.54	states/eV/cell
SG	I-42d
relative energy among the computed polymorphs	51	meV per atom